Compound: Co2SnRuN
Source: Alexandria
Functional: PBE
Structure: relaxed

Total moment: 1.95 μB per formula unit
DOS(E_F): 4.6 states/eV per cell
Mass density: 9.46 g/cm3
Symmetry: P4/mmm (123)
Uncorrected formation energy: 7.93 kJ/mol of atoms

abc: 3.8679 3.8679 4.1267
angles: 90.00 90.00 90.00
With the nearest neighbours (Å) after each atom.
Positions (direct):
Co1 0.0000 0.5000 0.0000  2 N 1.93
Co2 0.5000 0.0000 0.0000  2 N 1.93
Sn1 0.0000 0.0000 0.5000  4 Ru 2.74, 8 Co 2.83
Ru1 0.5000 0.5000 0.5000  2 N 2.06
N1 0.5000 0.5000 0.0000  4 Co 1.93, 2 Ru 2.06

---

Compound: DyPa3P4N12
Source: Alexandria
Functional: PBE
Structure: relaxed

Total moment: 0.00 μB per formula unit
DOS(E_F): 5.0 states/eV per cell
Mass density: 6.49 g/cm3
Symmetry: R32 (155)
Uncorrected formation energy: -81.85 kJ/mol of atoms

abc: 6.8867 6.8867 6.8867
angles: 103.57 103.57 103.57
With the nearest neighbours (Å) after each atom.
Positions (direct):
Dy1 0.0000 0.0000 0.0000  6 N 2.54
Pa1 0.0000 0.5386 0.4614  6 N 2.30-2.32
Pa2 0.4614 0.0000 0.5386  6 N 2.30-2.32
Pa3 0.5386 0.4614 0.0000  6 N 2.30-2.32
P1 0.0391 0.5000 0.9609  3 N 1.59
P2 0.5000 0.5000 0.5000  3 N 1.59
P3 0.5000 0.9609 0.0391  3 N 1.59
P4 0.9609 0.0391 0.5000  3 N 1.59
N1 0.0264 0.6467 0.8145  1 P 1.59
N2 0.1082 0.8918 0.5000  1 P 1.59
N3 0.1855 0.3533 0.9736  1 P 1.59
N4 0.3526 0.6474 0.5000  1 P 1.59
N5 0.3533 0.9736 0.1855  1 P 1.59
N6 0.5000 0.1082 0.8918  1 P 1.59
N7 0.5000 0.3526 0.6474  1 P 1.59
N8 0.6474 0.5000 0.3526  1 P 1.59
N9 0.6467 0.8145 0.0264  1 P 1.59
N10 0.8145 0.0264 0.6467  1 P 1.59
N11 0.8918 0.5000 0.1082  1 P 1.59
N12 0.9736 0.1855 0.3533  1 P 1.59

---

Compound: MgPb3
Source: Alexandria
Functional: PBE
Structure: relaxed

Total moment: 0.00 μB per formula unit
ΔE_f: 0.1666 eV/atom
DOS(E_F): 1.8 states/eV per cell
Mass density: 8.54 g/cm3
Symmetry: I4/mmm (139)

abc: 7.1091 7.1091 7.1091
angles: 143.63 143.63 52.38
With the nearest neighbours (Å) after each atom.
Positions (direct):
Mg1 0.0000 0.0000 0.0000  6 Pb 2.94-3.14
Pb1 0.2306 0.2306 0.0000  1 Mg 2.94, 4 Pb 3.18
Pb2 0.5000 0.5000 0.0000  4 Mg 3.14, 2 Pb 3.44
Pb3 0.7694 0.7694 0.0000  1 Mg 2.94, 4 Pb 3.18

---

Compound: Cs2As2Pd
Source: Alexandria
Functional: PBE
Structure: relaxed

Total moment: 0.00 μB per formula unit
ΔE_f: -0.2202 eV/atom
DOS(E_F): 4.0 states/eV per cell
Mass density: 6.07 g/cm3
Symmetry: P4/mbm (127)
Distance to the lowest polymorph of the same formula: 309 meV/atom

abc: 6.8260 6.8260 6.1304
angles: 90.00 90.00 90.00
With the nearest neighbours (Å) after each atom.
Positions (direct):
Cs1 0.1781 0.3219 0.0000  5 Cs 3.44-3.55, 6 As 3.56-3.75
Cs2 0.3219 0.8219 0.0000  5 Cs 3.44-3.55, 6 As 3.56-3.75
Cs3 0.6781 0.1781 0.0000  5 Cs 3.44-3.55, 6 As 3.56-3.75
Cs4 0.8219 0.6781 0.0000  5 Cs 3.44-3.55, 6 As 3.56-3.75
As1 0.1344 0.6344 0.5000  1 As 2.60, 2 Pd 2.66
As2 0.3656 0.1344 0.5000  1 As 2.60, 2 Pd 2.66
As3 0.6344 0.8656 0.5000  1 As 2.60, 2 Pd 2.66
As4 0.8656 0.3656 0.5000  1 As 2.60, 2 Pd 2.66
Pd1 0.0000 0.0000 0.5000  4 As 2.66
Pd2 0.5000 0.5000 0.5000  4 As 2.66

---

Compound: TlHgI2
Source: Alexandria
Functional: PBE
Structure: relaxed

Total moment: 0.00 μB per formula unit
Mass density: 5.92 g/cm3
Symmetry: P1 (1)
Uncorrected formation energy: -39.86 kJ/mol of atoms
Distance to the lowest polymorph of the same formula: 0 meV/atom

abc: 4.6597 8.7381 10.0004
angles: 110.12 90.51 103.83
With the nearest neighbours (Å) after each atom.
Positions (direct):
Tl1 0.0000 0.0000 0.0000  6 I 3.47-3.69
Tl2 0.2078 0.4405 0.4047  5 I 3.38-3.67, 2 Hg 3.65-3.69
Hg1 0.6585 0.3521 0.8431  4 I 2.76-3.01
Hg2 0.8572 0.7624 0.3787  2 Tl 3.65-3.69, 2 I 4.04-4.08
I1 0.2065 0.4469 0.0458  2 Hg 3.00-3.01
I2 0.4941 0.0043 0.7290  1 Hg 2.76
I3 0.5674 0.1339 0.2762  4 Tl 3.38-3.49
I4 0.7775 0.5848 0.7081  1 Hg 2.76

---

Compound: LaPrY5
Source: Alexandria
Functional: PBE
Structure: relaxed

Total moment: 0.00 μB per formula unit
ΔE_f: 0.0939 eV/atom
DOS(E_F): 21.9 states/eV per cell
Mass density: 5.03 g/cm3
Symmetry: C2/c (15)
Distance to the lowest polymorph of the same formula: 0 meV/atom

abc: 6.6371 6.6371 11.6871
angles: 104.14 104.14 95.26
With the nearest neighbours (Å) after each atom.
Positions (direct):
La1 0.2411 0.7589 0.7500  9 Y 3.40-3.66
La2 0.7589 0.2411 0.2500  9 Y 3.40-3.66
Pr1 0.0000 0.5000 0.0000  6 Y 3.36-3.63
Pr2 0.5000 0.0000 0.5000  6 Y 3.36-3.63
Y1 0.0514 0.1930 0.6630  6 Y 3.48-3.76, 2 La 3.52-3.66, 1 Pr 3.63
Y2 0.1930 0.0514 0.1630  6 Y 3.48-3.76, 2 La 3.52-3.66, 1 Pr 3.63
Y3 0.2306 0.4303 0.4643  7 Y 3.37-3.73, 2 La 3.40-3.49, 1 Pr 3.56
Y4 0.4107 0.5893 0.2500  2 Pr 3.36, 8 Y 3.37-3.76, 1 La 3.41
Y5 0.4303 0.2306 0.9643  7 Y 3.37-3.73, 2 La 3.40-3.49, 1 Pr 3.56
Y6 0.5697 0.7694 0.0357  7 Y 3.37-3.73, 2 La 3.40-3.49, 1 Pr 3.56
Y7 0.5893 0.4107 0.7500  2 Pr 3.36, 8 Y 3.37-3.76, 1 La 3.41
Y8 0.7694 0.5697 0.5357  7 Y 3.37-3.73, 2 La 3.40-3.49, 1 Pr 3.56
Y9 0.8070 0.9486 0.8370  6 Y 3.48-3.76, 2 La 3.52-3.66, 1 Pr 3.63
Y10 0.9486 0.8070 0.3370  6 Y 3.48-3.76, 2 La 3.52-3.66, 1 Pr 3.63

---

Compound: CuGeAs
Source: Alexandria
Functional: PBE
Structure: relaxed

Total moment: 0.00 μB per formula unit
ΔE_f: 0.2885 eV/atom
DOS(E_F): 1.9 states/eV per cell
Mass density: 6.65 g/cm3
Symmetry: P3m1 (156)
Distance to the lowest polymorph of the same formula: 193 meV/atom

abc: 4.6664 4.6664 2.7940
angles: 90.00 90.00 120.00
With the nearest neighbours (Å) after each atom.
Positions (direct):
Cu1 0.0000 0.0000 0.0000  3 As 2.69, 3 Ge 2.69, 2 Cu 2.79
Ge1 0.6667 0.3333 0.0081  3 As 2.69, 3 Cu 2.69, 2 Ge 2.79
As1 0.3333 0.6667 0.0018  3 Cu 2.69, 3 Ge 2.69, 2 As 2.79

---

Compound: TiTl2Ag2O6
Source: Alexandria
Functional: PBE
Structure: relaxed

Total moment: 0.00 μB per formula unit
DOS(E_F): 1.1 states/eV per cell
Mass density: 6.86 g/cm3
Symmetry: C2/m (12)
Uncorrected formation energy: -101.19 kJ/mol of atoms

abc: 5.7845 5.7845 6.4887
angles: 94.72 94.72 119.80
With the nearest neighbours (Å) after each atom.
Positions (direct):
Ti1 0.0000 0.0000 0.0000  6 O 1.97-2.04
Tl1 0.3363 0.6637 0.0000  6 O 2.26-2.39
Tl2 0.6637 0.3363 0.0000  6 O 2.26-2.39
Ag1 0.1539 0.8461 0.5000  2 O 2.10
Ag2 0.8461 0.1539 0.5000  2 O 2.10
O1 0.0465 0.7442 0.1740  1 Ti 2.04, 1 Ag 2.10
O2 0.2558 0.9535 0.8260  1 Ti 2.04, 1 Ag 2.10
O3 0.3210 0.3210 0.1545  1 Ti 1.97
O4 0.6790 0.6790 0.8455  1 Ti 1.97
O5 0.7442 0.0465 0.1740  1 Ti 2.04, 1 Ag 2.10
O6 0.9535 0.2558 0.8260  1 Ti 2.04, 1 Ag 2.10